[1]
! PBE As2PPt, optimized geometry; values from VASP
! * spin magnetization: 0.00 μB per cell
! * E_form: -2.0 kJ per mole of atoms
&SYSTEM
  ibrav = 0, nat = 4, ntyp = 3
/
ATOMIC_SPECIES
As 74.92 As.upf
P 30.97 P.upf
Pt 195.08 Pt.upf
CELL_PARAMETERS angstrom
3.666 0.000 0.000
0.000 3.666 0.000
0.000 0.000 5.301
ATOMIC_POSITIONS crystal
As 0.000 0.000 0.000
As 0.500 0.500 0.052
P 0.000 0.000 0.557
Pt 0.500 0.500 0.537

[2]
! PBE BaTbNd, optimized geometry; values from VASP
! * spin magnetization: 0.00 μB per cell
! * ΔE to the lowest computed polymorph: 145.9 meV/atom
! * E_form: 29.0 kJ per mole of atoms
&SYSTEM
  ibrav = 0, nat = 6, ntyp = 3
/
ATOMIC_SPECIES
Ba 137.33 Ba.upf
Tb 158.93 Tb.upf
Nd 144.24 Nd.upf
CELL_PARAMETERS angstrom
5.895 -1.812 0.000
5.895 1.812 0.000
-5.748 0.000 11.511
ATOMIC_POSITIONS crystal
Ba 0.178 0.178 0.099
Ba 0.822 0.822 0.901
Tb 0.321 0.321 0.423
Tb 0.679 0.679 0.577
Nd 0.470 0.470 0.716
Nd 0.530 0.530 0.284

[3]
! PBE LaBe2Pt, optimized geometry; values from VASP
! * spin magnetization: 0.00 μB per cell
! * E_form: -35.2 kJ per mole of atoms
&SYSTEM
  ibrav = 0, nat = 4, ntyp = 3
/
ATOMIC_SPECIES
La 138.91 La.upf
Be 9.01 Be.upf
Pt 195.08 Pt.upf
CELL_PARAMETERS angstrom
4.158 0.000 0.000
0.000 4.317 0.000
-0.225 0.000 4.304
ATOMIC_POSITIONS crystal
La 0.000 0.000 0.000
Be 0.490 0.500 0.741
Be 0.510 0.500 0.259
Pt 0.500 0.000 0.500

[4]
! PBE K3Cd2Au4, optimized geometry; values from VASP
! * spin magnetization: 0.00 μB per cell
! * ΔE to the lowest computed polymorph: 0.0 meV/atom
! * E_form: -27.3 kJ per mole of atoms
&SYSTEM
  ibrav = 0, nat = 9, ntyp = 3
/
ATOMIC_SPECIES
K 39.10 K.upf
Cd 112.41 Cd.upf
Au 196.97 Au.upf
CELL_PARAMETERS angstrom
5.973 -2.463 0.000
5.973 2.463 0.000
-2.317 0.000 9.100
ATOMIC_POSITIONS crystal
K 0.000 0.000 0.000
K 0.374 0.374 0.621
K 0.626 0.626 0.379
Cd 0.324 0.324 0.227
Cd 0.676 0.676 0.773
Au 0.084 0.084 0.631
Au 0.251 0.251 0.914
Au 0.749 0.749 0.086
Au 0.916 0.916 0.369

[5]
! PBE RbYO2, optimized geometry; values from VASP
! * spin magnetization: 0.00 μB per cell
! * ΔE_f (raw): -1.76 eV/atom
&SYSTEM
  ibrav = 0, nat = 4, ntyp = 3
/
ATOMIC_SPECIES
Rb 85.47 Rb.upf
Y 88.91 Y.upf
O 16.00 O.upf
CELL_PARAMETERS angstrom
0.000 3.091 3.091
3.091 0.000 3.091
3.091 3.091 0.000
ATOMIC_POSITIONS crystal
Rb 0.000 0.000 0.000
Y 0.500 0.500 0.500
O 0.250 0.250 0.250
O 0.750 0.750 0.750

[6]
! PBE Nd2Ga3Sn3, optimized geometry; values from VASP
! * spin magnetization: 0.00 μB per cell
! * E_form: -49.5 kJ per mole of atoms
&SYSTEM
  ibrav = 0, nat = 8, ntyp = 3
/
ATOMIC_SPECIES
Nd 144.24 Nd.upf
Ga 69.72 Ga.upf
Sn 118.71 Sn.upf
CELL_PARAMETERS angstrom
4.425 0.000 0.000
0.000 4.537 0.000
0.000 0.000 9.614
ATOMIC_POSITIONS crystal
Nd 0.000 0.000 0.244
Nd 0.000 0.000 0.756
Ga 0.500 0.000 0.000
Ga 0.500 0.500 0.232
Ga 0.500 0.500 0.768
Sn 0.000 0.500 0.000
Sn 0.000 0.500 0.500
Sn 0.500 0.000 0.500

[7]
! PBE Sr2Zr2Re, optimized geometry; values from VASP
! * spin magnetization: 2.44 μB per cell
! * ΔE to the lowest computed polymorph: 0.0 meV/atom
! * E_form: 111.7 kJ per mole of atoms
&SYSTEM
  ibrav = 0, nat = 5, ntyp = 3
/
ATOMIC_SPECIES
Sr 87.62 Sr.upf
Zr 91.22 Zr.upf
Re 186.21 Re.upf
CELL_PARAMETERS angstrom
-1.924 1.924 10.678
1.924 -1.924 10.678
1.924 1.924 -10.678
ATOMIC_POSITIONS crystal
Sr 0.090 0.090 0.000
Sr 0.910 0.910 0.000
Zr 0.250 0.750 0.500
Zr 0.750 0.250 0.500
Re 0.500 0.500 0.000

[8]
! PBE MgMnB14, optimized geometry; values from VASP
! * spin magnetization: 6.61 μB per cell
! * E_form: -6.3 kJ per mole of atoms
&SYSTEM
  ibrav = 0, nat = 32, ntyp = 3
/
ATOMIC_SPECIES
Mg 24.30 Mg.upf
Mn 54.94 Mn.upf
B 10.81 B.upf
CELL_PARAMETERS angstrom
-2.947 5.146 4.074
2.947 -5.146 4.074
2.947 5.146 -4.074
ATOMIC_POSITIONS crystal
Mg 0.407 0.157 0.250
Mg 0.593 0.843 0.750
Mn 0.000 0.000 0.500
Mn 0.000 0.500 0.000
B 0.037 0.209 0.334
B 0.037 0.703 0.829
B 0.046 0.893 0.153
B 0.081 0.672 0.409
B 0.201 0.534 0.667
B 0.225 0.507 0.403
B 0.225 0.822 0.718
B 0.237 0.328 0.909
B 0.240 0.893 0.347
B 0.368 0.534 0.833
B 0.375 0.209 0.671
B 0.375 0.703 0.166
B 0.395 0.178 0.903
B 0.395 0.493 0.218
B 0.605 0.507 0.782
B 0.605 0.822 0.097
B 0.625 0.297 0.834
B 0.625 0.791 0.329
B 0.632 0.466 0.167
B 0.760 0.107 0.653
B 0.763 0.672 0.091
B 0.775 0.178 0.282
B 0.775 0.493 0.597
B 0.799 0.466 0.333
B 0.919 0.328 0.591
B 0.954 0.107 0.847
B 0.963 0.297 0.171
B 0.963 0.791 0.666